[1]
{
  "formula": "TeIr2",
  "functional": "PBE",
  "state": "optimized geometry",
  "lattice_angstrom": [[-1.524, 1.524, 5.611], [1.524, -1.524, 5.611], [1.524, 1.524, -5.611]],
  "species": ["Te", "Ir", "Ir"],
  "fractional_positions": [[0.000, 0.000, 0.000], [0.329, 0.329, 0.000], [0.671, 0.671, 0.000]],
  "de_polymorph_kj_per_mol_atoms": 57.72,
  "spacegroup": "I4/mmm (139)",
  "m_tot_mub_per_fu": 0.00,
  "raw_formation_energy_mev_per_atom": 605
}

---

[2]
{
  "formula": "Tb3ErGe2C",
  "functional": "PBE",
  "state": "optimized geometry",
  "lattice_angstrom": [[-2.332, 2.357, 7.640], [2.332, -2.357, 7.640], [2.332, 2.357, -7.640]],
  "species": ["Tb", "Tb", "Tb", "Er", "Ge", "Ge", "C"],
  "fractional_positions": [[0.000, 0.000, 0.000], [0.332, 0.832, 0.500], [0.668, 0.168, 0.500], [0.500, 0.500, 0.000], [0.136, 0.636, 0.500], [0.864, 0.364, 0.500], [0.500, 0.000, 0.500]],
  "spacegroup": "Immm (71)",
  "m_tot_mub_per_fu": 0.00,
  "delta_e_f_ev_per_atom": -0.651
}